No. 1
The following is a DFT calculation (PBE) of a relaxed structure of Pa2Se2S.

a = 3.9790 Å, b = 3.9790 Å, c = 30.5497 Å
α = 90.00°, β = 90.00°, γ = 120.00°
Space group R-3m (No. 166, hexagonal axes)
One atom of each set of equivalent atoms:
Pa  0.0000  0.0000  0.1170 x6
Se  0.0000  0.0000  0.2712 x6
S  0.0000  0.0000  0.5000 x3

## Properties
- ΔE_f (raw): -1.50 eV per atom
- Fermi-level density of states: 1.0207 states/eV/atom
- Energy above the lowest structure with this stoichiometry: 0.0 meV/atom

---

No. 2
The following is a DFT calculation (PBE) of a relaxed structure of Pa3Se5S.

a = 12.068 Å, b = 9.378 Å, c = 9.988 Å
α = 90.00°, β = 108.30°, γ = 90.00°
Space group C2/m (No. 12)
One atom of each set of equivalent atoms:
Pa  0.000  0.000  0.000 x2
Pa  0.000  0.000  0.500 x2
Pa  0.163  0.500  0.164 x4
Pa  0.201  0.500  0.587 x4
Se  0.000  0.302  0.000 x4
Se  0.014  0.500  0.333 x4
Se  0.194  0.186  0.624 x8
Se  0.242  0.000  0.065 x4
S  0.066  0.000  0.277 x4

## Properties
- ΔE_f (raw): -1.29 eV per atom
- Fermi-level density of states: 1.1856 states/eV/atom

---

No. 3
The following is a DFT calculation (PBE) of a relaxed structure of PaSeS2.

a = 4.118 Å, b = 4.118 Å, c = 11.502 Å
α = 90.00°, β = 100.32°, γ = 90.00°
Space group P2_1/m (No. 11)
One atom of each set of equivalent atoms:
Pa  0.157  0.250  0.314 x2
Se  0.292  0.250  0.584 x2
S  0.083  0.750  0.167 x2
S  0.417  0.750  0.833 x2

## Properties
- ΔE_f (raw): -1.10 eV per atom
- Fermi-level density of states: 0.7040 states/eV/atom

---

No. 4
The following is a DFT calculation (PBE) of a relaxed structure of Pa3Se3S.

a = 8.224 Å, b = 11.627 Å, c = 7.374 Å
α = 90.00°, β = 91.33°, γ = 90.00°
Space group C2/m (No. 12)
One atom of each set of equivalent atoms:
Pa  0.059  0.000  0.218 x4
Pa  0.168  0.346  0.322 x8
Se  0.000  0.162  0.500 x4
Se  0.000  0.226  0.000 x4
Se  0.123  0.500  0.646 x4
S  0.246  0.500  0.073 x4

## Properties
- ΔE_f (raw): -1.12 eV per atom
- Fermi-level density of states: 1.6671 states/eV/atom

---

No. 5
The following is a DFT calculation (PBE) of a relaxed structure of PaSeS3.

a = 6.330 Å, b = 7.086 Å, c = 7.363 Å
α = 62.18°, β = 64.62°, γ = 88.03°
Space group P-1 (No. 2)
One atom of each set of equivalent atoms:
Pa  0.052  0.197  0.170 x2
Se  0.403  0.702  0.132 x2
S  0.182  0.183  0.464 x2
S  0.220  0.539  0.751 x2
S  0.304  0.978  0.907 x2

## Properties
- ΔE_f (raw): -0.89 eV per atom

---

No. 6
The following is a DFT calculation (PBE) of a relaxed structure of Pa4Se5S2.

a = 15.029 Å, b = 3.853 Å, c = 11.019 Å
α = 90.00°, β = 125.95°, γ = 90.00°
Space group C2/m (No. 12)
One atom of each set of equivalent atoms:
Pa  0.090  0.000  0.410 x4
Pa  0.148  0.000  0.071 x4
Se  0.000  0.500  0.500 x2
Se  0.029  0.500  0.162 x4
Se  0.176  0.000  0.829 x4
S  0.243  0.500  0.617 x4

## Properties
- ΔE_f (raw): -1.40 eV per atom
- Fermi-level density of states: 1.2086 states/eV/atom
- Energy above the lowest structure with this stoichiometry: 0.0 meV/atom

---

No. 7
The following is a DFT calculation (PBE) of a relaxed structure of Pa4Se3S.

a = 8.100 Å, b = 11.401 Å, c = 4.008 Å
α = 90.00°, β = 90.00°, γ = 90.00°
Space group Cmmm (No. 65)
One atom of each set of equivalent atoms:
Pa  0.000  0.240  0.000 x4
Pa  0.230  0.000  0.500 x4
Se  0.000  0.500  0.000 x2
Se  0.250  0.250  0.500 x4
S  0.000  0.000  0.000 x2

## Properties
- ΔE_f (raw): -1.30 eV per atom
- Fermi-level density of states: 1.9318 states/eV/atom

---

No. 8
The following is a DFT calculation (PBE) of a relaxed structure of Pa3Se3S2.

a = 8.2294 Å, b = 8.2294 Å, c = 6.1591 Å
α = 90.00°, β = 90.00°, γ = 120.00°
Space group P6_3/mcm (No. 193)
One atom of each set of equivalent atoms:
Pa  0.0000  0.3981  0.2500 x6
Se  0.0000  0.2492  0.7500 x6
S  0.3333  0.6667  0.0000 x4

## Properties
- ΔE_f (raw): -1.42 eV per atom
- Fermi-level density of states: 0.9937 states/eV/atom
- Energy above the lowest structure with this stoichiometry: 0.0 meV/atom